# 1
Rb2AgMoCl6: single point on PBEsol structure, meta-GGA SCAN.

Calculated values
**Formation energy from raw total energies**: -1.472 eV per atom
**Symmetry**: No. 225
**Spin magnetization**: 3.00 Bohr magnetons per cell

Cell lengths 7.1553, 7.1553, 7.1553 Å; angles 60.00, 60.00, 60.00 degrees
Closest atoms and distances in Å follow each position.
Sites, in units of the cell vectors:
Rb 0.7500 0.7500 0.7500  12 Cl 3.58
Rb 0.2500 0.2500 0.2500  12 Cl 3.58
Ag 0.5000 0.5000 0.5000  6 Cl 2.63
Mo 0.0000 0.0000 0.0000  6 Cl 2.42
Cl 0.7604 0.2396 0.2396  1 Mo 2.42, 1 Ag 2.63
Cl 0.7604 0.7604 0.2396  1 Mo 2.42, 1 Ag 2.63
Cl 0.2396 0.7604 0.7604  1 Mo 2.42, 1 Ag 2.63
Cl 0.7604 0.2396 0.7604  1 Mo 2.42, 1 Ag 2.63
Cl 0.2396 0.7604 0.2396  1 Mo 2.42, 1 Ag 2.63
Cl 0.2396 0.2396 0.7604  1 Mo 2.42, 1 Ag 2.63

=====

# 2
AgMoSCl2: single point on PBEsol structure, meta-GGA SCAN.

Calculated values
**Formation energy from raw total energies**: 0.524 eV per atom
**Symmetry**: No. 123
**Spin magnetization**: 4.17 Bohr magnetons per cell

Cell lengths 4.7526, 4.7526, 4.9308 Å; angles 90.00, 90.00, 90.00 degrees
Closest atoms and distances in Å follow each position.
Sites, in units of the cell vectors:
Mo 0.5000 0.5000 0.5000  4 S 3.36, 8 Cl 3.42
S 0.0000 0.0000 0.5000  2 Ag 2.47
Ag 0.0000 0.0000 0.0000  4 Cl 2.38, 2 S 2.47
Cl 0.0000 0.5000 0.0000  2 Ag 2.38
Cl 0.5000 0.0000 0.0000  2 Ag 2.38

=====

# 3
AgMoS2Cl: single point on PBEsol structure, meta-GGA SCAN.

Calculated values
**Formation energy from raw total energies**: -0.070 eV per atom
**Symmetry**: No. 123
**Spin magnetization**: 0.00 Bohr magnetons per cell

Cell lengths 4.5605, 4.5605, 4.9748 Å; angles 90.00, 90.00, 90.00 degrees
Closest atoms and distances in Å follow each position.
Sites, in units of the cell vectors:
Mo 0.0000 0.0000 0.0000  4 S 2.28, 2 Cl 2.49
S 0.0000 0.5000 0.0000  2 Mo 2.28
S 0.5000 0.0000 0.0000  2 Mo 2.28
Ag 0.5000 0.5000 0.5000  4 Cl 3.22, 8 S 3.37
Cl 0.0000 0.0000 0.5000  2 Mo 2.49